This record from the Alexandria database describes crystalline PmPd2Pt4 at its relaxed geometry. The functional is GGA-PBE.

Cell: 8.6539 6.8261 5.3336 Å, 90.00 127.84 90.00°
Space group C2/m (No. 12)
Unique sites:
Pm 0.0000 0.0000 0.0000 (multiplicity 2)
Pd 0.0007 0.5000 0.7507 (multiplicity 4)
Pt 0.1962 0.1963 0.6955 (multiplicity 8)

Total magnetic moment = 0.0 μB/cell
V = 249 Å³ per cell
E = -6.10 eV per atom
Energy of formation from the pure elements = -0.4853 eV/atom